[1]
DFT (GGA-PBE) results for Ac2DyTl2 after structural relaxation.

Calculated values
ΔH_f (0 K) ... -0.280 eV per atom
SG ... Immm
Energy above the most stable polymorph in this dataset ... 0.006 eV/atom
Total moment ... 0.00 μB/cell

extended XYZ file:
```
5
Lattice="-1.413 -4.065 2.505 5.198 -3.473 2.247 1.137 0.572 6.520" Properties=species:S:1:pos:R:3 pbc="T T T"
Ac 3.276 -5.287 8.117
Ac 1.646 -1.679 3.154
Tl 1.537 -2.562 6.608
Tl 3.385 -4.403 4.663
Dy 0.000 0.000 0.000
```

[2]
DFT (GGA-PBE) results for Ac4DyTl2 after structural relaxation.

Calculated values
ΔH_f (0 K) ... -0.078 eV per atom
SG ... P1
Total moment ... 0.00 μB/cell

extended XYZ file:
```
14
Lattice="-4.375 -4.986 -5.128 10.115 -1.307 -3.123 -6.446 -2.062 8.258" Properties=species:S:1:pos:R:3 pbc="T T T"
Ac -2.808 -6.807 -0.403
Ac -5.541 -3.731 3.682
Ac 3.219 -2.829 -2.121
Ac -4.091 -4.654 -2.945
Ac -2.994 -2.410 0.451
Ac 1.812 -5.771 -5.181
Ac 0.508 -4.071 1.439
Ac -8.453 -5.877 1.674
Tl -5.501 -4.723 0.387
Tl -1.855 -2.412 3.991
Tl -0.503 -4.162 -2.252
Tl -2.405 -5.275 2.766
Dy 3.078 -1.721 1.315
Dy -0.038 -1.321 -1.136
```

[3]
DFT (GGA-PBE) results for Ac3DyTl3 after structural relaxation.

Calculated values
ΔH_f (0 K) ... -0.210 eV per atom
SG ... C2/m
Total moment ... 0.00 μB/cell

extended XYZ file:
```
14
Lattice="-0.239 -2.834 6.715 6.930 2.015 -1.048 -2.557 9.106 3.327" Properties=species:S:1:pos:R:3 pbc="T T T"
Ac 3.207 2.387 4.453
Ac 0.926 5.900 4.541
Ac -0.245 2.580 7.000
Ac 4.379 5.707 1.993
Ac 1.547 -1.626 4.781
Ac 5.144 0.807 0.886
Tl -0.283 1.268 3.905
Tl 5.934 1.229 6.248
Tl 4.417 7.019 5.088
Tl 1.638 5.139 8.098
Tl 2.496 3.148 0.896
Tl -1.800 7.058 2.746
Dy 1.624 0.218 1.636
Dy 2.510 8.069 7.358
```

[4]
DFT (GGA-PBE) results for AcDy3Tl after structural relaxation.

Calculated values
ΔH_f (0 K) ... 0.077 eV per atom
SG ... P6_3/mmc
Total moment ... 0.00 μB/cell

extended XYZ file:
```
10
Lattice="6.348 0.000 0.000 0.000 8.033 0.001 0.000 -4.016 6.961" Properties=species:S:1:pos:R:3 pbc="T T T"
Dy 4.761 1.716 5.632
Dy 1.587 4.017 4.304
Dy 1.587 5.733 1.330
Dy 4.761 -1.716 5.632
Dy 1.587 2.301 1.330
Dy 4.761 0.000 2.658
Ac 4.761 4.017 2.321
Ac 1.587 0.000 4.641
Tl 0.000 4.017 6.962
Tl 3.174 4.017 6.962
```

[5]
DFT (GGA-PBE) results for AcDy5Tl3 after structural relaxation.

Calculated values
ΔH_f (0 K) ... -0.218 eV per atom
SG ... P6_3/mcm
Total moment ... 2.20 μB/cell

extended XYZ file:
```
18
Lattice="6.870 0.000 0.000 0.000 9.502 0.000 0.000 -4.751 8.229" Properties=species:S:1:pos:R:3 pbc="T T T"
Ac 3.435 0.000 0.000
Ac 0.000 0.000 0.000
Dy 3.435 0.000 5.485
Dy 1.718 -3.164 5.481
Dy 1.718 1.587 2.748
Dy 0.000 4.751 2.743
Dy 5.153 7.915 2.748
Dy 5.153 3.164 5.481
Dy 3.435 4.751 2.743
Dy 5.153 3.173 0.000
Dy 1.718 6.329 0.000
Dy 0.000 0.000 5.485
Tl 5.153 6.253 0.000
Tl 1.718 3.249 0.000
Tl 1.718 -1.624 2.814
Tl 5.153 1.624 2.814
Tl 1.718 3.127 5.415
Tl 5.153 6.375 5.415
```

[6]
DFT (GGA-PBE) results for Ac8DyTl6 after structural relaxation.

Calculated values
ΔH_f (0 K) ... -0.163 eV per atom
SG ... R-3
Total moment ... 0.00 μB/cell

extended XYZ file:
```
15
Lattice="-3.397 0.364 -9.175 -2.176 -8.282 -4.747 -8.434 -2.315 -2.192" Properties=species:S:1:pos:R:3 pbc="T T T"
Ac -5.545 -8.067 -7.043
Ac -8.462 -2.165 -9.071
Ac -5.189 -2.458 -6.830
Ac -3.771 -5.276 -9.260
Ac -10.236 -4.957 -6.854
Ac -8.818 -7.774 -9.284
Ac -7.051 -4.983 -11.498
Ac -6.956 -5.250 -4.616
Tl -5.192 -2.198 -10.267
Tl -8.815 -8.034 -5.847
Tl -5.604 -7.982 -10.609
Tl -3.666 -5.492 -5.733
Tl -8.403 -2.251 -5.505
Tl -10.341 -4.741 -10.381
Dy 0.000 0.000 0.000
```